No. 1
An optimized crystal structure of AgSn2Pb, computed with PBE.

Unit cell a=5.2815 b=5.2815 c=5.2815 alpha=60.00 beta=60.00 gamma=60.00
Fractional coordinates of all 4 atoms:
Pb1 0.0000 0.0000 0.0000
Ag1 0.2500 0.2500 0.2500
Sn1 0.7500 0.7500 0.7500
Sn2 0.5000 0.5000 0.5000

Values from the calculation:
Electronic total energy (eV for the cell shown): -14.004

---

No. 2
An optimized crystal structure of Tb2Ag2SnPb, computed with PBE.

Unit cell a=4.7845 b=4.7845 c=7.4569 alpha=90.00 beta=90.00 gamma=120.00
Fractional coordinates of all 6 atoms:
Pb1 0.3333 0.6667 0.7772
Ag1 0.6667 0.3333 0.6741
Ag2 0.3333 0.6667 0.1921
Tb1 0.0000 0.0000 0.9982
Tb2 0.0000 0.0000 0.4935
Sn1 0.6667 0.3333 0.2745

Values from the calculation:
Electronic total energy (eV for the cell shown): -25.707

---

No. 3
An optimized crystal structure of Tm2Ag2SnPb, computed with PBE.

Unit cell a=4.7492 b=4.7492 c=7.3605 alpha=90.00 beta=90.00 gamma=120.00
Fractional coordinates of all 6 atoms:
Ag1 0.3333 0.6667 0.8329
Ag2 0.0000 0.0000 0.3149
Tm1 0.6667 0.3333 0.0083
Tm2 0.6667 0.3333 0.5036
Sn1 0.3333 0.6667 0.2287
Pb1 0.0000 0.0000 0.7256

Values from the calculation:
Electronic total energy (eV for the cell shown): -25.044

---

No. 4
An optimized crystal structure of Y2Ag2SnPb, computed with PBE.

Unit cell a=4.7699 b=4.7699 c=7.4473 alpha=90.00 beta=90.00 gamma=120.00
Fractional coordinates of all 6 atoms:
Ag1 0.6667 0.3333 0.6990
Ag2 0.3333 0.6667 0.1792
Y1 0.0000 0.0000 0.9982
Y2 0.0000 0.0000 0.5041
Pb1 0.6667 0.3333 0.2835
Sn1 0.3333 0.6667 0.7798

Values from the calculation:
Electronic total energy (eV for the cell shown): -29.418

---

No. 5
An optimized crystal structure of SrAgPb, computed with PBE.

Unit cell a=5.2912 b=5.2912 c=5.2912 alpha=60.00 beta=60.00 gamma=60.00
Fractional coordinates of all 3 atoms:
Pb1 0.7500 0.7500 0.7500
Sr1 0.0000 0.0000 0.0000
Ag1 0.2500 0.2500 0.2500

Values from the calculation:
Electronic total energy (eV for the cell shown): -7.646

---

No. 6
An optimized crystal structure of TaAgPb, computed with PBE.

Unit cell a=4.6107 b=4.6107 c=4.6107 alpha=60.00 beta=60.00 gamma=60.00
Fractional coordinates of all 3 atoms:
Pb1 0.2500 0.2500 0.2500
Ta1 0.7500 0.7500 0.7500
Ag1 0.0000 0.0000 0.0000

Values from the calculation:
Electronic total energy (eV for the cell shown): -15.244

---

No. 7
An optimized crystal structure of Ta3AgPb5, computed with PBE.

Unit cell a=5.7058 b=5.7058 c=8.9092 alpha=90.00 beta=90.00 gamma=120.00
Fractional coordinates of all 9 atoms:
Pb1 0.6667 0.3333 0.8010
Pb2 0.6667 0.3333 0.1990
Pb3 0.3333 0.6667 0.8010
Pb4 0.3333 0.6667 0.1990
Pb5 0.0000 0.0000 0.5000
Ta1 0.5000 0.5000 0.5000
Ta2 0.5000 0.0000 0.5000
Ta3 0.0000 0.5000 0.5000
Ag1 0.0000 0.0000 0.0000

Values from the calculation:
Electronic total energy (eV for the cell shown): -52.613

---

No. 8
An optimized crystal structure of TaAg2Pb, computed with PBE.

Unit cell a=4.8192 b=4.8192 c=4.8192 alpha=60.00 beta=60.00 gamma=60.00
Fractional coordinates of all 4 atoms:
Pb1 0.5000 0.5000 0.5000
Ta1 0.2500 0.2500 0.2500
Ag1 0.7500 0.7500 0.7500
Ag2 0.0000 0.0000 0.0000

Values from the calculation:
Electronic total energy (eV for the cell shown): -18.773

---

No. 9
An optimized crystal structure of Tb3Ag4Pb4, computed with PBE.

Unit cell a=8.9422 b=8.9422 c=8.9422 alpha=149.78 beta=130.60 gamma=59.01
Fractional coordinates of all 11 atoms:
Tb1 0.8721 0.8721 0.0000
Tb2 0.5000 0.0000 0.5000
Tb3 0.1279 0.1279 0.0000
Pb1 0.2876 0.7876 0.5000
Pb2 0.7124 0.2124 0.5000
Pb3 0.7966 0.5000 0.2966
Pb4 0.2034 0.5000 0.7034
Ag1 0.5270 0.3267 0.2003
Ag2 0.1264 0.3267 0.7997
Ag3 0.4730 0.6733 0.7997
Ag4 0.8736 0.6733 0.2003

Values from the calculation:
Electronic total energy (eV for the cell shown): -43.106

---

No. 10
An optimized crystal structure of TbAgPb, computed with PBE.

Unit cell a=4.8194 b=4.8194 c=7.4586 alpha=90.00 beta=90.00 gamma=120.00
Fractional coordinates of all 6 atoms:
Tb1 0.0000 0.0000 0.7401
Tb2 0.0000 0.0000 0.2401
Ag1 0.6667 0.3333 0.5502
Ag2 0.3333 0.6667 0.0502
Pb1 0.6667 0.3333 0.9597
Pb2 0.3333 0.6667 0.4597

Values from the calculation:
Electronic total energy (eV for the cell shown): -24.848

---

No. 11
An optimized crystal structure of TbAgTe3Pb, computed with PBE.

Unit cell a=9.0695 b=4.5764 c=17.8580 alpha=90.00 beta=90.00 gamma=90.00
Fractional coordinates of all 24 atoms:
Te1 0.1959 0.7500 0.2918
Te2 0.3899 0.7500 0.0605
Te3 0.6101 0.2500 0.9395
Te4 0.4727 0.2500 0.4127
Te5 0.6959 0.7500 0.2082
Te6 0.8899 0.7500 0.4395
Te7 0.8041 0.2500 0.7082
Te8 0.5273 0.7500 0.5873
Te9 0.9727 0.2500 0.0873
Te10 0.0273 0.7500 0.9127
Te11 0.1101 0.2500 0.5605
Te12 0.3041 0.2500 0.7918
Tb1 0.7447 0.7500 0.0330
Tb2 0.2447 0.7500 0.4670
Tb3 0.7553 0.2500 0.5330
Tb4 0.2553 0.2500 0.9670
Pb1 0.4336 0.2500 0.2315
Pb2 0.9336 0.2500 0.2685
Pb3 0.5664 0.7500 0.7685
Pb4 0.0664 0.7500 0.7315
Ag1 0.8762 0.2500 0.8615
Ag2 0.6238 0.7500 0.3615
Ag3 0.3762 0.2500 0.6385
Ag4 0.1238 0.7500 0.1385

Values from the calculation:
Relative energy among the computed polymorphs (eV/atom): 0.058

---

No. 12
An optimized crystal structure of TbAgTe3Pb, computed with PBE.

Unit cell a=11.3378 b=4.3670 c=14.7349 alpha=90.00 beta=90.00 gamma=90.00
Fractional coordinates of all 24 atoms:
Te1 0.5732 0.2500 0.5998
Te2 0.2343 0.2500 0.1560
Te3 0.4268 0.7500 0.4002
Te4 0.0732 0.2500 0.9002
Te5 0.9268 0.7500 0.0998
Te6 0.4631 0.2500 0.8907
Te7 0.5369 0.7500 0.1093
Te8 0.0369 0.7500 0.3907
Te9 0.9631 0.2500 0.6093
Te10 0.2657 0.7500 0.6560
Te11 0.7657 0.7500 0.8440
Te12 0.7343 0.2500 0.3440
Ag1 0.2398 0.7500 0.2784
Ag2 0.7398 0.7500 0.2216
Ag3 0.2602 0.2500 0.7784
Ag4 0.7602 0.2500 0.7216
Pb1 0.7235 0.2500 0.0164
Pb2 0.7765 0.7500 0.5164
Pb3 0.2235 0.2500 0.4836
Pb4 0.2765 0.7500 0.9836
Tb1 0.5192 0.7500 0.7434
Tb2 0.4808 0.2500 0.2566
Tb3 0.9808 0.2500 0.2434
Tb4 0.0192 0.7500 0.7566

Values from the calculation:
Relative energy among the computed polymorphs (eV/atom): 0.007